Here is an optimized crystal structure of HgTeHI2 from Alexandria. Energies are from GGA-PBE.

symmetry	P4/mmm
total magnetic moment	2.86	μB per formula unit
uncorrected energy	-1.28	eV/atom

extended XYZ file:
```
5
Lattice="6.045 0.000 0.000 0.000 6.045 0.000 0.000 0.000 5.731" Properties=species:S:1:pos:R:3 pbc="T T T"
Hg 0.000 0.000 0.000
Te 0.000 0.000 2.866
H 3.022 3.022 2.866
I 0.000 3.022 0.000
I 3.022 0.000 0.000
```